The following is a PBE with a Hubbard U calculation of FeF after structural relaxation, from the Alexandria database.

Output
Density   3.9 g/cm³
Offset from the most stable computed form   0.564 eV per atom
Electronic total energy   -36.21 eV per cell
Spin magnetization   1.66 μB/atom

CIF file:
```
data_FeF
_cell_length_a 5.037
_cell_length_b 5.037
_cell_length_c 5.037
_cell_angle_alpha 90.00
_cell_angle_beta 90.00
_cell_angle_gamma 90.00
_symmetry_space_group_name_H-M 'F -4 3 m'
_symmetry_Int_Tables_number 216
_symmetry_space_group_name_Hall 'F -4 2 3'
loop_
_atom_site_label
_atom_site_type_symbol
_atom_site_fract_x
_atom_site_fract_y
_atom_site_fract_z
Fe1 Fe 0.000 0.000 0.000
F1 F 0.250 0.250 0.250
```